First-principles (PBE) data for an optimized crystal structure of CrPSe4, as listed in the Alexandria database.

abc: 5.620 5.620 5.620
angles: 60.00 60.00 60.00
Atoms (fractional coordinates):
P 0.000 0.000 0.000
Se 0.625 0.625 0.625
Cr 0.250 0.250 0.250
Se 0.625 0.625 0.125
Se 0.125 0.625 0.625
Se 0.625 0.125 0.625

Space-group type: F-43m
M_tot (μB/f.u.): 4.10
Total energy (eV per atom): -3.895
ΔE_f (raw) (eV/atom): 0.93